ScTcOs: optimized geometry, PBEsol.

Output
- E: -10.03 eV per atom
- Magnetic moment: 0.00 μB per formula unit
- D(E_F): 2.21 states/eV/f.u.

Cell lengths 2.801, 4.344, 4.344 Å; angles 120.00, 90.00, 90.00 degrees
Fractional coordinates of all 3 atoms:
Os (0.013, 0.000, 0.000)
Sc (0.659, 0.333, 0.667)
Tc (0.328, 0.667, 0.333)